# 1
## Fe2ReIr6 (GGA-PBE)

Data for crystalline Fe2ReIr6 at its relaxed geometry.

Geometry as POSCAR:
```
Fe2ReIr6
1.0
-1.999 1.772 -4.634
-0.359 -3.300 -4.194
-6.417 -2.174 -1.151
Re Ir Fe
1 6 2
Cartesian
-7.142 -2.665 -4.113
-3.173 0.152 -3.258
-2.324 -2.474 -3.030
-5.177 -3.585 -5.312
-6.021 -0.975 -5.538
-4.992 -1.887 -3.154
-2.139 -0.766 -0.859
-6.395 -2.721 -7.543
-3.383 -1.554 -5.309
```

Values from the calculation:
**ΔH_f (0 K)**: 0.44 eV/atom
**Crystal system**: trigonal
**Spin magnetization**: 6.35 μB per cell
**E_tot**: -78.6 eV/cell
**Excess energy over the best structure of this formula in the dataset**: 0.2970 eV/atom
**ρ**: 15.84 g/cm³

***

# 2
## In3PdPt2 (GGA-PBE)

Data for crystalline In3PdPt2 at its relaxed geometry.

Geometry as POSCAR:
```
In3PdPt2
1.0
-1.113 -1.379 -3.566
2.155 -3.316 0.610
-4.885 -2.320 4.644
Pt In Pd
2 3 1
Cartesian
-3.146 -4.376 0.450
-0.697 -2.639 1.238
0.521 -2.347 -1.478
-2.382 -1.699 -0.823
-3.615 -2.000 1.901
0.000 0.000 0.000
```

Values from the calculation:
**ΔH_f (0 K)**: -0.39 eV/atom
**Crystal system**: orthorhombic
**Spin magnetization**: 0.00 μB per cell
**E_tot**: -27.8 eV/cell
**ρ**: 12.81 g/cm³

***

# 3
## Li3HoPa2N6 (GGA-PBE)

Data for crystalline Li3HoPa2N6 at its relaxed geometry.

Geometry as POSCAR:
```
Li3HoPa2N6
1.0
-4.691 -0.715 3.746
3.831 -4.579 -0.947
3.106 3.348 2.884
N Li Pa Ho
6 3 2 1
Cartesian
1.954 -1.242 0.524
2.176 1.159 2.996
-0.999 0.097 2.151
0.071 -3.105 2.686
3.246 -2.043 3.531
0.293 -0.704 5.158
-1.699 0.307 4.395
3.946 -2.253 1.287
1.123 -0.973 2.841
0.989 -3.290 0.618
-1.848 -2.004 2.180
0.000 0.000 0.000
```

Values from the calculation:
**Crystal system**: monoclinic
**Spin magnetization**: 0.00 μB per cell
**Raw formation energy**: -1.032 eV/atom
**E_tot**: -91.7 eV/cell
**ρ**: 7.67 g/cm³

***

The highest spin magnetization belongs to which entry?
Fe2ReIr6